(1)
An optimized crystal structure of Pm8Co3HI4, computed with PBE.

```
Pm8Co3HI4
1.0
-0.816 -7.801 1.798
2.119 1.815 8.834
-6.228 4.108 -3.013
Pm Co H I
8 3 1 4
Cartesian
-4.664 3.349 3.561
-1.607 1.331 5.043
-2.951 0.693 1.666
-5.065 -0.485 4.445
0.141 -1.394 3.175
-1.973 -2.572 5.953
-3.317 -3.209 2.576
-0.260 -5.227 4.059
0.652 -2.993 5.316
-2.462 -0.939 3.810
-2.054 2.961 2.910
1.060 0.907 4.417
-0.408 -3.901 0.899
-3.522 -1.847 -0.608
0.000 0.000 0.000
-3.114 2.054 -1.507
```

***

(2)
An optimized crystal structure of Pm6Co2HI3, computed with PBE.

```
Pm6Co2HI3
1.0
-1.940 4.648 -4.808
3.577 -5.660 -1.913
-7.404 -3.631 1.178
Pm Co H I
6 2 1 3
Cartesian
-5.756 -1.989 -4.702
-0.169 -1.383 -4.603
-0.011 -2.654 -0.840
-3.866 -5.522 -3.710
-5.599 -3.260 -0.940
-1.902 0.879 -1.833
1.735 -2.219 -2.879
-0.098 1.208 -3.842
0.000 0.000 0.000
-1.050 -5.748 -1.809
-4.717 1.105 -3.734
-2.884 -2.322 -2.771
```

***

(3)
An optimized crystal structure of Pm8Co3HI3, computed with PBE.

```
Pm8Co3HI3
1.0
-3.949 -1.412 6.826
1.231 -5.942 -5.218
7.329 2.686 4.796
Pm Co H I
8 3 1 3
Cartesian
1.918 -2.768 0.536
2.694 -1.900 5.867
-0.050 -3.448 3.959
4.661 -1.220 2.444
-0.659 -0.519 6.521
5.271 -4.149 -0.118
1.280 0.176 3.171
3.331 -4.844 3.232
1.690 0.637 5.811
2.306 -2.334 3.201
4.280 -1.628 -0.211
3.665 1.343 2.398
0.000 0.000 0.000
0.616 -2.971 -2.609
-1.359 -3.677 0.804
```

***

| no. | DFT total energy (eV per atom) | density (Mg/m³) | magnetization (μB per cell) |
| --- | --- | --- | --- |
| 1 | -4.8951 | 6.82 | 0.00 |
| 2 | -4.8244 | 6.76 | 0.00 |
| 3 | -4.9323 | 6.49 | 0.00 |